Computed, not measured: a relaxed Nd2MgSb3Rh4 crystal at the PBE level of DFT.

CIF file:
```
data_Nd2MgSb3Rh4
_cell_length_a 4.396
_cell_length_b 4.396
_cell_length_c 10.929
_cell_angle_alpha 90.00
_cell_angle_beta 90.00
_cell_angle_gamma 90.00
_space_group_name_H-M_alt 'P -4 m 2'
_space_group_IT_number 115
loop_
_space_group_symop_operation_xyz
'x,y,z'
'y,-x,-z'
'-x,-y,z'
'-y,x,-z'
'-x,y,z'
'-y,-x,-z'
'x,-y,z'
'y,x,-z'
loop_
_atom_site_label
_atom_site_fract_x
_atom_site_fract_y
_atom_site_fract_z
Nd1 0.000 0.500 0.249
Mg1 0.000 0.000 0.500
Sb1 0.000 0.500 0.866
Sb2 0.500 0.500 0.500
Rh1 0.000 0.000 0.000
Rh2 0.000 0.500 0.633
Rh3 0.500 0.500 0.000
```

Output
Raw formation energy: -0.806 eV per atom
Total moment: 0.00 μB/f.u.

=====

Computed, not measured: a relaxed NdMgSi2Rh crystal at the PBE level of DFT.

CIF file:
```
data_NdMgSi2Rh
_cell_length_a 4.088
_cell_length_b 4.088
_cell_length_c 10.964
_cell_angle_alpha 90.00
_cell_angle_beta 90.00
_cell_angle_gamma 90.00
_space_group_name_H-M_alt 'I -4 m 2'
_space_group_IT_number 119
_space_group_name_Hall 'I -4 -2'
loop_
_atom_site_label
_atom_site_fract_x
_atom_site_fract_y
_atom_site_fract_z
Nd1 0.000 0.000 0.000
Mg1 0.000 0.500 0.750
Si1 0.000 0.000 0.391
Rh1 0.000 0.500 0.250
```

Output
Raw formation energy: -0.760 eV per atom
Total moment: 0.00 μB/f.u.

=====

Computed, not measured: a relaxed NdMg2SiRh2 crystal at the PBE level of DFT.

CIF file:
```
data_NdMg2SiRh2
_cell_length_a 4.532
_cell_length_b 4.532
_cell_length_c 6.041
_cell_angle_alpha 90.00
_cell_angle_beta 90.00
_cell_angle_gamma 90.00
_space_group_name_H-M_alt 'P 4/m m m'
_space_group_IT_number 123
_space_group_name_Hall '-P 4 2'
loop_
_atom_site_label
_atom_site_fract_x
_atom_site_fract_y
_atom_site_fract_z
Nd1 0.000 0.000 0.000
Mg1 0.500 0.500 0.248
Si1 0.000 0.000 0.500
Rh1 0.000 0.500 0.500
```

Output
Raw formation energy: -0.480 eV per atom
Total moment: 0.15 μB/f.u.

=====

Computed, not measured: a relaxed Nd2MgSi2Rh5 crystal at the PBE level of DFT.

CIF file:
```
data_Nd2MgSi2Rh5
_cell_length_a 10.078
_cell_length_b 10.078
_cell_length_c 3.456
_cell_angle_alpha 90.00
_cell_angle_beta 90.00
_cell_angle_gamma 90.00
_space_group_name_H-M_alt 'P 4/m b m'
_space_group_IT_number 127
_space_group_name_Hall '-P 4 2ab'
loop_
_atom_site_label
_atom_site_fract_x
_atom_site_fract_y
_atom_site_fract_z
Nd1 0.176 0.324 0.000
Mg1 0.000 0.000 0.000
Si1 0.122 0.622 0.000
Rh1 0.000 0.500 0.500
Rh2 0.069 0.780 0.500
```

Output
Raw formation energy: -0.850 eV per atom
Total moment: 0.00 μB/f.u.

=====

Question: Look up the total moment of the third one.
Answer: 0.15 μB/f.u.